[1]
This record from the Alexandria database describes Rb2HoCuCl6 after structural relaxation. The functional is PBE.

Results
- N(E_F) (states/eV/atom) = 0.000
- uncorrected formation energy (eV per atom) = -1.79
- total magnetic moment (μB/atom) = 0.006
- SG = No. 2

Cell and atoms, written as extended XYZ:
```
10
Lattice="-3.978 4.557 -4.174 -6.050 -3.783 -0.224 -6.860 3.067 2.469" Properties=species:S:1:pos:R:3 pbc="T T T"
Rb -7.953 4.042 -1.893
Rb -8.935 -0.201 -0.036
Ho 0.000 0.000 0.000
Cu -5.014 0.387 -2.199
Cl -5.994 1.835 0.323
Cl -7.578 1.053 -3.568
Cl -6.024 -1.450 -1.544
Cl -10.863 5.291 -0.384
Cl -9.310 2.788 1.640
Cl -10.894 2.006 -2.252
```


[2]
This record from the Alexandria database describes RbHoCuCl5 after structural relaxation. The functional is PBE.

Results
- N(E_F) (states/eV/atom) = 0.000
- uncorrected formation energy (eV per atom) = -1.75
- total magnetic moment (μB/atom) = 0.019
- SG = No. 15

Cell and atoms, written as extended XYZ:
```
16
Lattice="-0.135 2.355 -7.035 -6.981 0.379 2.485 4.617 7.400 4.857" Properties=species:S:1:pos:R:3 pbc="T T T"
Rb -3.454 2.914 0.399
Rb 0.954 7.220 -0.093
Ho 2.308 3.700 2.428
Ho 0.000 0.000 0.000
Cu -1.098 3.594 -2.877
Cu -1.402 6.540 3.184
Cl -5.327 2.373 3.004
Cl 2.828 7.761 -2.698
Cl -1.743 3.020 -5.047
Cl -0.756 7.114 5.353
Cl 1.010 4.590 -2.741
Cl -3.509 5.544 3.048
Cl -2.527 5.154 -1.786
Cl 0.027 4.980 2.093
Cl -1.323 1.556 -1.668
Cl -1.176 8.578 1.974
```


[3]
This record from the Alexandria database describes Ho4CuSe2Cl after structural relaxation. The functional is PBE.

Results
- N(E_F) (states/eV/atom) = 0.258
- uncorrected formation energy (eV per atom) = -1.24
- total magnetic moment (μB/atom) = 0.000
- SG = No. 10

Cell and atoms, written as extended XYZ:
```
8
Lattice="3.889 0.000 0.000 0.000 7.099 -0.253 0.000 2.399 6.660" Properties=species:S:1:pos:R:3 pbc="T T T"
Ho 0.000 7.072 4.688
Ho 3.889 2.426 1.718
Ho 1.945 5.852 1.609
Ho 1.945 3.646 4.798
Cu 0.000 4.749 3.203
Se 0.000 2.399 6.660
Se 1.945 1.199 3.330
Cl 1.945 3.549 -0.126
```


[4]
This record from the Alexandria database describes HoTlCuCl6 after structural relaxation. The functional is PBE.

Results
- uncorrected formation energy (eV per atom) = -1.40
- total magnetic moment (μB/atom) = 0.111
- SG = No. 5

Cell and atoms, written as extended XYZ:
```
9
Lattice="-5.313 2.025 4.208 -3.536 -4.252 3.528 4.047 0.900 5.832" Properties=species:S:1:pos:R:3 pbc="T T T"
Ho -3.851 -0.884 8.033
Tl 0.526 -3.258 9.335
Cu -0.925 -0.277 5.493
Cl -5.571 0.649 6.925
Cl 0.795 1.244 5.754
Cl -1.659 0.386 8.381
Cl 0.459 -2.017 6.149
Cl -2.819 -1.601 5.661
Cl -2.115 1.356 4.371
```